Compound: Sc2Ir
Source: the Alexandria database
Functional: PBEsol
Structure: optimized geometry

Summary:
Crystal system: orthorhombic
Symmetry: Cmcm, No. 63
DFT total energy: -8.38 eV/atom
ΔH_f (0 K): -0.702 eV/atom

The structure in POSCAR format:
```
Sc2Ir
1.0
1.639 -7.195 0.000
1.639 7.195 0.000
0.000 0.000 4.648
Sc Ir
4 2
Direct
0.076 0.924 0.750
0.223 0.777 0.250
0.777 0.223 0.750
0.924 0.076 0.250
0.422 0.578 0.750
0.578 0.422 0.250
```

Compound: La2ScTiTl
Source: the Alexandria database
Functional: PBEsol
Structure: optimized geometry

Summary:
Crystal system: tetragonal
Symmetry: P4/mmm, No. 123
DFT total energy: -5.19 eV/atom
ΔH_f (0 K): 0.462 eV/atom

The structure in POSCAR format:
```
La2ScTiTl
1.0
5.222 0.000 0.000
0.000 5.222 0.000
0.000 0.000 5.401
La Sc Ti Tl
2 1 1 1
Direct
0.000 0.500 0.000
0.500 0.000 0.000
0.000 0.000 0.500
0.500 0.500 0.000
0.500 0.500 0.500
```

Compound: LiSiB6
Source: the Alexandria database
Functional: PBEsol
Structure: optimized geometry

Summary:
Crystal system: orthorhombic
Formation energy from raw total energies: -0.22 eV/atom
Symmetry: Cmce, No. 64
DFT total energy: -6.45 eV/atom

The structure in POSCAR format:
```
LiSiB6
1.0
3.039 -5.481 0.000
3.039 5.481 0.000
0.000 0.000 8.403
Li Si B
4 4 24
Direct
0.174 0.826 0.840
0.326 0.674 0.340
0.674 0.326 0.660
0.826 0.174 0.160
0.166 0.834 0.121
0.334 0.666 0.621
0.666 0.334 0.379
0.834 0.166 0.879
0.101 0.899 0.350
0.120 0.198 0.334
0.152 0.848 0.556
0.156 0.314 0.531
0.186 0.344 0.969
0.198 0.120 0.666
0.302 0.380 0.166
0.314 0.156 0.469
0.344 0.186 0.031
0.348 0.652 0.056
0.380 0.302 0.834
0.399 0.601 0.850
0.601 0.399 0.150
0.620 0.698 0.166
0.652 0.348 0.944
0.656 0.814 0.969
0.686 0.844 0.531
0.698 0.620 0.834
0.802 0.880 0.334
0.814 0.656 0.031
0.844 0.686 0.469
0.848 0.152 0.444
0.880 0.802 0.666
0.899 0.101 0.650
```

Compound: NbZnMoAs2
Source: the Alexandria database
Functional: PBEsol
Structure: optimized geometry

Summary:
Crystal system: tetragonal
Symmetry: P4/mmm, No. 123
DFT total energy: -5.76 eV/atom
ΔH_f (0 K): 1.120 eV/atom

The structure in POSCAR format:
```
NbZnMoAs2
1.0
4.886 0.000 0.000
0.000 4.886 0.000
0.000 0.000 4.904
Nb Zn Mo As
1 1 1 2
Direct
0.000 0.000 0.000
0.500 0.500 0.500
0.000 0.000 0.500
0.000 0.500 0.000
0.500 0.000 0.000
```

Compound: Ta2AlCu
Source: the Alexandria database
Functional: PBEsol
Structure: optimized geometry

Summary:
Crystal system: orthorhombic
Symmetry: Amm2, No. 38
DFT total energy: -8.45 eV/atom
ΔH_f (0 K): -0.069 eV/atom

The structure in POSCAR format:
```
Ta2AlCu
1.0
3.940 0.000 0.000
0.000 1.498 5.301
0.000 -1.498 5.301
Ta Al Cu
2 1 1
Direct
0.000 0.000 0.000
0.500 0.350 0.350
0.000 0.735 0.735
0.500 0.607 0.607
```

Compound: MnTcCl
Source: the Alexandria database
Functional: PBEsol
Structure: optimized geometry

Summary:
Crystal system: trigonal
Formation energy from raw total energies: 0.20 eV/atom
Symmetry: P3m1, No. 156
DFT total energy: -7.48 eV/atom

The structure in POSCAR format:
```
MnTcCl
1.0
2.932 0.000 0.000
-1.466 2.539 0.000
0.000 0.000 5.808
Mn Tc Cl
1 1 1
Direct
0.000 0.000 0.000
0.333 0.667 0.700
0.667 0.333 0.312
```

Compound: AlCu2Ni
Source: the Alexandria database
Functional: PBEsol
Structure: optimized geometry

Summary:
Crystal system: tetragonal
Symmetry: P4mm, No. 99
DFT total energy: -4.98 eV/atom
ΔH_f (0 K): -0.248 eV/atom

The structure in POSCAR format:
```
AlCu2Ni
1.0
2.939 0.000 0.000
0.000 2.939 0.000
0.000 0.000 5.362
Al Cu Ni
1 2 1
Direct
0.000 0.000 0.000
0.000 0.000 0.512
0.500 0.500 0.269
0.500 0.500 0.765
```

Compound: TiTl3Sn
Source: the Alexandria database
Functional: PBEsol
Structure: optimized geometry

Summary:
Crystal system: cubic
Symmetry: Pm-3m, No. 221
DFT total energy: -3.08 eV/atom
ΔH_f (0 K): 1.010 eV/atom

The structure in POSCAR format:
```
TiTl3Sn
1.0
5.571 0.000 0.000
0.000 5.571 0.000
0.000 0.000 5.571
Ti Tl Sn
1 3 1
Direct
0.000 0.000 0.000
0.000 0.500 0.500
0.500 0.000 0.500
0.500 0.500 0.000
0.500 0.500 0.500
```

Compound: ZnSiGe2O
Source: the Alexandria database
Functional: PBEsol
Structure: optimized geometry

Summary:
Crystal system: tetragonal
Formation energy from raw total energies: 1.03 eV/atom
Symmetry: P4/mmm, No. 123
DFT total energy: -3.46 eV/atom

The structure in POSCAR format:
```
ZnSiGe2O
1.0
4.717 0.000 0.000
0.000 4.717 0.000
0.000 0.000 4.448
Zn Si Ge O
1 1 2 1
Direct
0.000 0.000 0.000
0.000 0.000 0.500
0.000 0.500 0.000
0.500 0.000 0.000
0.500 0.500 0.500
```

Compound: NaTl2Sb2
Source: the Alexandria database
Functional: PBEsol
Structure: optimized geometry

Summary:
Crystal system: tetragonal
Formation energy from raw total energies: -0.02 eV/atom
Symmetry: I4/mmm, No. 139
DFT total energy: -3.18 eV/atom

The structure in POSCAR format:
```
NaTl2Sb2
1.0
-2.371 2.371 7.068
2.371 -2.371 7.068
2.371 2.371 -7.068
Na Tl Sb
1 2 2
Direct
0.000 0.000 0.000
0.250 0.750 0.500
0.750 0.250 0.500
0.399 0.399 0.000
0.601 0.601 0.000
```

Compound: TcOsAu
Source: the Alexandria database
Functional: PBEsol
Structure: optimized geometry

Summary:
Crystal system: orthorhombic
Symmetry: Fmm2, No. 42
DFT total energy: -8.63 eV/atom
ΔH_f (0 K): 0.504 eV/atom

The structure in POSCAR format:
```
TcOsAu
1.0
0.000 2.294 7.173
1.400 0.000 7.173
1.400 2.294 0.000
Tc Os Au
1 1 1
Direct
0.000 0.000 0.000
0.648 0.648 0.352
0.325 0.325 0.675
```

Compound: Ca3PdO
Source: the Alexandria database
Functional: PBEsol
Structure: optimized geometry

Summary:
Crystal system: cubic
Formation energy from raw total energies: -1.40 eV/atom
Symmetry: Pm-3m, No. 221
DFT total energy: -4.92 eV/atom

The structure in POSCAR format:
```
Ca3PdO
1.0
4.684 0.000 0.000
0.000 4.684 0.000
0.000 0.000 4.684
Ca Pd O
3 1 1
Direct
0.000 0.000 0.500
0.000 0.500 0.000
0.500 0.000 0.000
0.500 0.500 0.500
0.000 0.000 0.000
```

Compound: Ta4CoP
Source: the Alexandria database
Functional: PBEsol
Structure: optimized geometry

Summary:
Crystal system: cubic
Symmetry: F-43m, No. 216
DFT total energy: -9.81 eV/atom
ΔH_f (0 K): 0.813 eV/atom

The structure in POSCAR format:
```
Ta4CoP
1.0
0.000 3.729 3.729
3.729 0.000 3.729
3.729 3.729 0.000
Ta Co P
4 1 1
Direct
0.125 0.125 0.125
0.125 0.125 0.624
0.125 0.624 0.125
0.624 0.125 0.125
0.500 0.500 0.500
0.750 0.750 0.750
```

Compound: AlRuBr4
Source: the Alexandria database
Functional: PBEsol
Structure: optimized geometry

Summary:
Crystal system: cubic
Formation energy from raw total energies: 1.23 eV/atom
Symmetry: F-43m, No. 216
DFT total energy: -2.39 eV/atom

The structure in POSCAR format:
```
AlRuBr4
1.0
0.000 4.258 4.258
4.258 0.000 4.258
4.258 4.258 0.000
Al Ru Br
1 1 4
Direct
0.000 0.000 0.000
0.750 0.750 0.750
0.376 0.376 0.376
0.376 0.376 0.872
0.376 0.872 0.376
0.872 0.376 0.376
```

Compound: InIr2Se
Source: the Alexandria database
Functional: PBEsol
Structure: optimized geometry

Summary:
Crystal system: tetragonal
Formation energy from raw total energies: 0.32 eV/atom
Symmetry: P4/mmm, No. 123
DFT total energy: -6.30 eV/atom

The structure in POSCAR format:
```
InIr2Se
1.0
4.287 0.000 0.000
0.000 4.287 0.000
0.000 0.000 3.522
In Ir Se
1 2 1
Direct
0.000 0.000 0.000
0.000 0.500 0.500
0.500 0.000 0.500
0.500 0.500 0.000
```

Compound: LaY3Cd
Source: the Alexandria database
Functional: PBEsol
Structure: optimized geometry

Summary:
Crystal system: cubic
Symmetry: Pm-3m, No. 221
DFT total energy: -5.10 eV/atom
ΔH_f (0 K): 0.305 eV/atom

The structure in POSCAR format:
```
LaY3Cd
1.0
5.605 0.000 0.000
0.000 5.605 0.000
0.000 0.000 5.605
La Y Cd
1 3 1
Direct
0.000 0.000 0.000
0.000 0.500 0.500
0.500 0.000 0.500
0.500 0.500 0.000
0.500 0.500 0.500
```

Compound: Dy4Ga21Ni10
Source: the Alexandria database
Functional: PBEsol
Structure: optimized geometry

Summary:
Crystal system: monoclinic
Symmetry: C2/m, No. 12
DFT total energy: -4.90 eV/atom
ΔH_f (0 K): -0.572 eV/atom

The structure in POSCAR format:
```
Dy4Ga21Ni10
1.0
10.296 -2.014 0.000
10.296 2.014 0.000
-8.671 0.000 12.495
Dy Ga Ni
4 21 10
Direct
0.120 0.120 0.333
0.229 0.229 0.824
0.771 0.771 0.176
0.880 0.880 0.667
0.006 0.006 0.091
0.065 0.065 0.796
0.117 0.117 0.553
0.201 0.201 0.003
0.248 0.248 0.294
0.298 0.298 0.497
0.373 0.373 0.805
0.386 0.386 0.296
0.399 0.399 0.002
0.460 0.460 0.632
0.500 0.500 0.500
0.540 0.540 0.368
0.601 0.601 0.998
0.614 0.614 0.704
0.627 0.627 0.195
0.702 0.702 0.503
0.752 0.752 0.706
0.799 0.799 0.997
0.883 0.883 0.447
0.935 0.935 0.204
0.994 0.994 0.909
0.024 0.024 0.607
0.133 0.133 0.104
0.250 0.250 0.615
0.347 0.347 0.111
0.498 0.498 0.815
0.502 0.502 0.185
0.653 0.653 0.889
0.750 0.750 0.385
0.867 0.867 0.896
0.976 0.976 0.393
```

Compound: TaPdN2
Source: the Alexandria database
Functional: PBEsol
Structure: optimized geometry

Summary:
Crystal system: trigonal
Formation energy from raw total energies: -0.56 eV/atom
Symmetry: R-3m, No. 166
DFT total energy: -9.45 eV/atom

The structure in POSCAR format:
```
TaPdN2
1.0
1.541 0.890 6.132
-1.541 0.890 6.132
0.000 -1.780 6.132
Ta Pd N
1 1 2
Direct
0.000 0.000 0.000
0.500 0.500 0.500
0.392 0.392 0.392
0.608 0.608 0.608
```

Compound: KZnPO4
Source: the Alexandria database
Functional: PBEsol
Structure: optimized geometry

Summary:
Crystal system: orthorhombic
Formation energy from raw total energies: -2.12 eV/atom
Symmetry: Pna2_1, No. 33
DFT total energy: -6.33 eV/atom

The structure in POSCAR format:
```
KZnPO4
1.0
8.526 0.000 0.000
0.000 8.976 0.000
0.000 0.000 5.307
K Zn P O
4 4 4 16
Direct
0.003 0.234 0.000
0.497 0.734 0.500
0.503 0.266 0.000
0.997 0.766 0.500
0.195 0.586 0.991
0.305 0.086 0.491
0.695 0.914 0.991
0.805 0.414 0.491
0.210 0.426 0.496
0.290 0.926 0.996
0.710 0.074 0.496
0.790 0.574 0.996
0.031 0.420 0.527
0.214 0.940 0.262
0.231 0.784 0.860
0.239 0.063 0.837
0.261 0.563 0.337
0.269 0.284 0.360
0.286 0.440 0.762
0.469 0.920 0.027
0.531 0.080 0.527
0.714 0.560 0.262
0.731 0.716 0.860
0.739 0.437 0.837
0.761 0.937 0.337
0.769 0.216 0.360
0.786 0.060 0.762
0.969 0.580 0.027
```

Compound: YCdRu
Source: the Alexandria database
Functional: PBEsol
Structure: optimized geometry

Summary:
Crystal system: cubic
Symmetry: F-43m, No. 216
DFT total energy: -5.92 eV/atom
ΔH_f (0 K): 0.146 eV/atom

The structure in POSCAR format:
```
YCdRu
1.0
0.000 3.228 3.228
3.228 0.000 3.228
3.228 3.228 0.000
Y Cd Ru
1 1 1
Direct
0.000 0.000 0.000
0.500 0.500 0.500
0.750 0.750 0.750
```

Compound: Na3ZnPb
Source: the Alexandria database
Functional: PBEsol
Structure: optimized geometry

Summary:
Crystal system: cubic
Symmetry: Pm-3m, No. 221
DFT total energy: -1.60 eV/atom
ΔH_f (0 K): 0.353 eV/atom

The structure in POSCAR format:
```
Na3ZnPb
1.0
5.918 0.000 0.000
0.000 5.918 0.000
0.000 0.000 5.918
Na Zn Pb
3 1 1
Direct
0.000 0.000 0.500
0.000 0.500 0.000
0.500 0.000 0.000
0.500 0.500 0.500
0.000 0.000 0.000
```

Compound: RuPtSe2
Source: the Alexandria database
Functional: PBEsol
Structure: optimized geometry

Summary:
Crystal system: tetragonal
Formation energy from raw total energies: 0.13 eV/atom
Symmetry: I-42d, No. 122
DFT total energy: -6.08 eV/atom

The structure in POSCAR format:
```
RuPtSe2
1.0
-2.741 2.741 5.609
2.741 -2.741 5.609
2.741 2.741 -5.609
Ru Pt Se
2 2 4
Direct
0.000 0.000 0.000
0.750 0.250 0.500
0.250 0.750 0.500
0.500 0.500 0.000
0.111 0.625 0.986
0.375 0.361 0.486
0.639 0.125 0.014
0.875 0.889 0.514
```

Compound: Zn2CuPt
Source: the Alexandria database
Functional: PBEsol
Structure: optimized geometry

Summary:
Crystal system: orthorhombic
Symmetry: Pmm2, No. 25
DFT total energy: -3.88 eV/atom
ΔH_f (0 K): -0.268 eV/atom

The structure in POSCAR format:
```
Zn2CuPt
1.0
2.739 0.000 0.000
0.000 3.733 0.000
0.000 0.000 5.244
Zn Cu Pt
2 1 1
Direct
0.000 0.000 0.000
0.500 0.500 0.274
0.000 0.000 0.497
0.500 0.500 0.767
```

Compound: BiP2BrO
Source: the Alexandria database
Functional: PBEsol
Structure: optimized geometry

Summary:
Crystal system: tetragonal
Formation energy from raw total energies: 0.81 eV/atom
Symmetry: P4/mmm, No. 123
DFT total energy: -3.79 eV/atom

The structure in POSCAR format:
```
BiP2BrO
1.0
5.317 0.000 0.000
0.000 5.317 0.000
0.000 0.000 4.178
Bi P Br O
1 2 1 1
Direct
0.000 0.000 0.000
0.000 0.500 0.000
0.500 0.000 0.000
0.500 0.500 0.500
0.000 0.000 0.500
```

Compound: InHg3
Source: the Alexandria database
Functional: PBEsol
Structure: optimized geometry

Summary:
Crystal system: orthorhombic
Symmetry: C222, No. 21
DFT total energy: -1.17 eV/atom
ΔH_f (0 K): 0.003 eV/atom

The structure in POSCAR format:
```
InHg3
1.0
1.884 -2.450 0.000
1.884 2.450 0.000
0.000 0.000 10.481
In Hg
1 3
Direct
0.000 0.000 0.000
0.000 0.500 0.747
0.500 0.000 0.253
0.500 0.500 0.500
```

Let's list mass density in order: 8.55; 6.48; 2.37; 5.73; 12.01; 7.23; 7.63; 7.49; 4.28; 7.06; 17.49; 3.92; 13.03; 4.81; 14.83; 4.89; 8.65; 10.38; 3.26; 7.46; 2.74; 8.95; 12.06; 5.16; 12.29 g cm⁻³.